A crystal of Na3Mn8O16 relaxed with PBEsol. Source: Alexandria, functional meta-GGA SCAN.

Spin magnetization: 42.00 μB per cell
Raw formation energy: -2.082 eV/atom

Geometry as CIF:
```
data_Na3Mn8O16
_cell_length_a 5.860
_cell_length_b 11.725
_cell_length_c 8.276
_cell_angle_alpha 90.00
_cell_angle_beta 90.00
_cell_angle_gamma 90.00
_symmetry_space_group_name_H-M 'P m m n'
_symmetry_Int_Tables_number 59
loop_
_symmetry_equiv_pos_as_xyz
'x,y,z'
'-x,-y,-z'
'-x+1/2,-y+1/2,z'
'x+1/2,y+1/2,-z'
'x+1/2,-y,-z'
'-x+1/2,y,z'
'-x,y+1/2,-z'
'x,-y+1/2,z'
loop_
_atom_site_label
_atom_site_type_symbol
_atom_site_fract_x
_atom_site_fract_y
_atom_site_fract_z
_atom_site_occupancy
Na1 Na 0.250 0.001 0.127 1
Na2 Na 0.250 0.750 0.379 1
Mn1 Mn 0.000 0.000 0.500 1
Mn2 Mn 0.002 0.250 0.005 1
Mn3 Mn 0.250 0.126 0.745 1
Mn4 Mn 0.250 0.627 0.747 1
O1 O 0.035 0.750 0.763 1
O2 O 0.037 0.250 0.771 1
O3 O 0.041 0.001 0.729 1
O4 O 0.250 0.109 0.515 1
O5 O 0.250 0.144 0.980 1
O6 O 0.250 0.604 0.517 1
O7 O 0.250 0.645 0.977 1
```